Na3SrN: optimized geometry, GGA-PBE.

- E above lowest polymorph (eV/atom) = 0.000
- total energy (eV per atom) = -2.381
- mass density (kg/m3) = 2105
- energy relative to the elements, uncorrected (eV/atom) = 0.412
- V (Å³ per cell) = 135
- magnetization (μB/cell) = 0.0

Unit cell a=5.125 b=5.125 c=5.125 alpha=90.00 beta=90.00 gamma=90.00
Atoms (fractional coordinates):
Sr (0.500, 0.500, 0.500)
N (0.000, 0.000, 0.000)
Na (0.000, 0.500, 0.000)
Na (0.000, 0.000, 0.500)
Na (0.500, 0.000, 0.000)